Na3LiGa4Si8O24: relaxed, GGA-PBEsol.

Properties
Calculated volume, Å³ per cell: 418.33
Fermi-level density of states, states/eV/cell: 0.00
VASP energy, eV/atom: -7.277

POSCAR file:
```
Na3LiGa4Si8O24
1.0
5.289 0.000 0.000
0.000 8.684 0.000
-2.287 0.000 9.109
Na Li Ga Si O
3 1 4 8 24
Direct
0.000 0.000 0.000 Na
0.000 0.098 0.500 Na
0.500 0.501 0.500 Na
0.500 0.558 0.000 Li
0.000 0.399 0.000 Ga
0.000 0.703 0.500 Ga
0.500 0.199 0.000 Ga
0.500 0.895 0.500 Ga
0.193 0.392 0.709 Si
0.200 0.707 0.206 Si
0.302 0.889 0.793 Si
0.309 0.207 0.291 Si
0.691 0.207 0.709 Si
0.698 0.889 0.207 Si
0.800 0.707 0.794 Si
0.807 0.392 0.291 Si
0.085 0.790 0.854 O
0.092 0.309 0.352 O
0.194 0.561 0.640 O
0.210 0.539 0.136 O
0.225 0.877 0.612 O
0.228 0.220 0.111 O
0.276 0.384 0.889 O
0.276 0.719 0.387 O
0.301 0.060 0.858 O
0.305 0.038 0.359 O
0.406 0.290 0.646 O
0.413 0.808 0.143 O
0.587 0.808 0.857 O
0.594 0.290 0.354 O
0.695 0.038 0.641 O
0.699 0.060 0.142 O
0.724 0.384 0.111 O
0.724 0.719 0.613 O
0.772 0.220 0.889 O
0.775 0.877 0.388 O
0.790 0.539 0.864 O
0.806 0.561 0.360 O
0.908 0.309 0.648 O
0.915 0.790 0.146 O
```


NaLiGa2Si4O12: relaxed, GGA-PBEsol.

Properties
Calculated volume, Å³ per cell: 207.59
Fermi-level density of states, states/eV/cell: 0.00
VASP energy, eV/atom: -7.297

POSCAR file:
```
NaLiGa2Si4O12
1.0
4.790 -4.330 0.000
4.790 4.330 0.000
-1.708 0.000 5.004
Na Li Ga Si O
1 1 2 4 12
Direct
0.000 0.000 0.000 Na
0.446 0.554 0.500 Li
0.605 0.395 0.000 Ga
0.802 0.198 0.500 Ga
0.090 0.500 0.996 Si
0.318 0.095 0.507 Si
0.500 0.910 0.004 Si
0.905 0.682 0.493 Si
0.049 0.662 0.272 O
0.066 0.644 0.773 O
0.082 0.201 0.442 O
0.329 0.402 0.077 O
0.338 0.951 0.728 O
0.356 0.934 0.227 O
0.508 0.269 0.611 O
0.598 0.671 0.923 O
0.670 0.104 0.112 O
0.731 0.492 0.389 O
0.799 0.918 0.558 O
0.896 0.330 0.888 O
```


Na2LiTiGa: relaxed, GGA-PBEsol.

Properties
Calculated volume, Å³ per cell: 167.87
Formation energy, eV/atom: 1.183
Fermi-level density of states, states/eV/cell: 9.33
VASP energy, eV/atom: -2.102

POSCAR file:
```
Na2LiTiGa
1.0
5.751 0.000 0.000
0.000 5.751 0.000
0.000 0.000 5.075
Na Li Ti Ga
2 1 1 1
Direct
0.000 0.500 0.000 Na
0.500 0.000 0.000 Na
0.000 0.000 0.500 Li
0.000 0.000 0.000 Ti
0.500 0.500 0.500 Ga
```